1.
ScIn2Co GGA-PBE optimized geometry; crystal system = orthorhombic; energy relative to the elements = -0.5 eV/f.u.
1.0
3.409 0.000 0.000
0.000 3.659 0.000
0.000 0.000 13.270
Sc In Co
2 4 2
direct
0.000 0.000 0.000
0.000 0.500 0.500
0.000 0.000 0.297
0.000 0.500 0.797
0.500 0.000 0.650
0.500 0.500 0.150
0.500 0.000 0.453
0.500 0.500 0.953

***

2.
ScIn2Co GGA-PBE optimized geometry; crystal system = tetragonal; energy relative to the elements = 0.9 eV/f.u.
1.0
4.088 0.000 0.000
0.000 4.088 0.000
0.000 0.000 20.254
Sc In Co
4 8 4
direct
0.000 0.000 0.000
0.000 0.500 0.250
0.500 0.000 0.750
0.500 0.500 0.500
0.237 0.250 0.625
0.250 0.737 0.875
0.250 0.763 0.375
0.263 0.250 0.125
0.737 0.750 0.125
0.750 0.237 0.375
0.750 0.263 0.875
0.763 0.750 0.625
0.000 0.000 0.500
0.000 0.500 0.750
0.500 0.000 0.250
0.500 0.500 0.000

***

3.
ScIn2Co2 GGA-PBE optimized geometry; ΔE to the lowest computed polymorph = 0.73 eV/f.u.; crystal system = tetragonal; energy relative to the elements = 0.3 eV/f.u.
1.0
4.205 0.000 0.000
0.000 4.205 0.000
0.000 0.000 10.362
Sc In Co
2 4 4
direct
0.000 0.000 0.000
0.500 0.500 0.500
0.000 0.500 0.250
0.000 0.500 0.750
0.500 0.000 0.250
0.500 0.000 0.750
0.000 0.000 0.399
0.000 0.000 0.601
0.500 0.500 0.101
0.500 0.500 0.899